# AlFe2Br

An optimized crystal structure of AlFe2Br (PBE-GGA, the Alexandria database).

Cell and atoms, written as POSCAR:
```
AlFe2Br
1.0
-3.076 -3.849 2.548
4.417 -1.567 2.965
-0.506 0.525 6.218
Fe Br Al
4 2 2
Direct
0.641 0.125 0.250
0.109 0.625 0.250
0.375 0.359 0.750
0.875 0.891 0.750
0.000 0.000 0.000
0.750 0.250 0.500
0.500 0.500 0.000
0.250 0.750 0.500
```

Values from the calculation:
**Total magnetic moment**: 0.00 μB per cell
**V**: 150.1 Å³ per cell
**Polymorph energy (0 for the lowest one)**: 3.59 eV/f.u.
**Space group**: No. 122
**E_form (uncorrected)**: 98.0 kJ per mole of atoms

# EuTm3Ni

An optimized crystal structure of EuTm3Ni (PBE-GGA, the Alexandria database).

Cell and atoms, written as POSCAR:
```
EuTm3Ni
1.0
5.305 0.000 0.000
0.000 5.305 0.000
0.000 0.000 5.305
Eu Ni Tm
1 1 3
Direct
0.500 0.500 0.500
0.000 0.000 0.000
0.000 0.500 0.000
0.000 0.000 0.500
0.500 0.000 0.000
```

Values from the calculation:
**Total magnetic moment**: 7.68 μB per cell
**V**: 149.3 Å³ per cell
**Space group**: No. 221
**Formation enthalpy at 0 K**: -0.54 eV per formula unit

# PaTi2C

An optimized crystal structure of PaTi2C (PBE-GGA, the Alexandria database).

Cell and atoms, written as POSCAR:
```
PaTi2C
1.0
-2.833 0.423 1.023
-0.559 -0.038 2.989
0.200 8.185 1.690
C Pa Ti
1 1 2
Direct
0.500 0.500 0.500
0.000 0.000 0.000
0.119 0.119 0.642
0.881 0.881 0.358
```

Values from the calculation:
**Total magnetic moment**: 0.00 μB per cell
**V**: 65.5 Å³ per cell
**Space group**: No. 166
**Formation enthalpy at 0 K**: -1.09 eV per formula unit

# Cs2Sn2Se

An optimized crystal structure of Cs2Sn2Se (PBE-GGA, the Alexandria database).

Cell and atoms, written as POSCAR:
```
Cs2Sn2Se
1.0
4.272 0.000 0.000
0.000 4.272 0.000
2.136 2.136 11.894
Cs Sn Se
2 2 1
Direct
0.416 0.416 0.168
0.584 0.584 0.832
0.750 0.250 0.500
0.250 0.750 0.500
0.000 0.000 0.000
```

Values from the calculation:
**Total magnetic moment**: 0.23 μB per cell
**V**: 217.1 Å³ per cell
**Space group**: No. 139
**E_form (uncorrected)**: -39.5 kJ per mole of atoms

# CoHPdPt2

An optimized crystal structure of CoHPdPt2 (PBE-GGA, the Alexandria database).

Cell and atoms, written as POSCAR:
```
CoHPdPt2
1.0
3.946 0.000 0.000
0.000 3.946 0.000
0.000 0.000 3.921
H Co Pd Pt
1 1 1 2
Direct
0.000 0.000 0.000
0.000 0.000 0.500
0.500 0.500 0.500
0.000 0.500 0.000
0.500 0.000 0.000
```

Values from the calculation:
**Total magnetic moment**: 2.78 μB per cell
**V**: 61.1 Å³ per cell
**Polymorph energy (0 for the lowest one)**: 0.00 eV/f.u.
**Space group**: No. 123

# TiMnHRu2

An optimized crystal structure of TiMnHRu2 (PBE-GGA, the Alexandria database).

Cell and atoms, written as POSCAR:
```
TiMnHRu2
1.0
-1.994 -3.444 0.346
3.384 -2.024 -0.640
0.672 -0.025 3.635
Ru Mn H Ti
2 1 1 1
Direct
0.000 0.500 0.000
0.500 0.000 0.000
0.500 0.500 0.500
0.000 0.000 0.000
0.000 0.000 0.500
```

Values from the calculation:
**Total magnetic moment**: 3.25 μB per cell
**V**: 59.0 Å³ per cell
**Polymorph energy (0 for the lowest one)**: 0.22 eV/f.u.
**Space group**: No. 123

# La2Rh2I

An optimized crystal structure of La2Rh2I (PBE-GGA, the Alexandria database).

Cell and atoms, written as POSCAR:
```
La2Rh2I
1.0
4.351 0.000 0.000
-2.175 3.768 0.000
0.000 0.000 17.617
La Rh I
4 4 2
Direct
0.000 0.000 0.106
0.000 0.000 0.894
0.000 0.000 0.606
0.000 0.000 0.394
0.333 0.667 0.501
0.667 0.333 0.499
0.667 0.333 0.001
0.333 0.667 0.999
0.333 0.667 0.250
0.667 0.333 0.750
```

Values from the calculation:
**Total magnetic moment**: 0.00 μB per cell
**V**: 288.8 Å³ per cell
**Polymorph energy (0 for the lowest one)**: 0.00 eV/f.u.
**Space group**: No. 194
**E_form (uncorrected)**: -90.1 kJ per mole of atoms

# La2AsP

An optimized crystal structure of La2AsP (PBE-GGA, the Alexandria database).

Cell and atoms, written as POSCAR:
```
La2AsP
1.0
-3.887 1.827 -4.461
-5.504 -1.339 -2.501
-2.032 2.858 2.942
As La P
1 2 1
Direct
0.257 0.257 0.125
0.998 0.998 0.125
0.748 0.748 0.625
0.498 0.498 0.625
```

Values from the calculation:
**Total magnetic moment**: 0.00 μB per cell
**V**: 108.7 Å³ per cell
**Polymorph energy (0 for the lowest one)**: 0.74 eV/f.u.
**Space group**: No. 38
**Formation enthalpy at 0 K**: -5.55 eV per formula unit